# 1
Material: Ce6GaGe5
Method: DFT, PBE
State: optimized geometry

The structure belongs to space group C2/m (No. 12); the cell edges are 7.360, 12.732 and 7.344 Å and the angles 90.00°, 109.46° and 90.00°. Symmetry generates all atoms from Ce at (0.244, 0.000, 0.252), Ce at (0.246, 0.170, 0.747), Ga at (0.000, 0.500, 0.000), Ge at (0.000, 0.000, 0.500), Ge at (0.000, 0.167, 0.000) and Ge at (0.000, 0.336, 0.500).

The volume comes out at 27.04 A^3/atom. For the total energy, the calculation gives -5.697 eV/atom.

=====

# 2
Material: PuBi5Pb2
Method: DFT, PBE
State: optimized geometry

The structure belongs to space group I4/mmm (No. 139); the cell edges are 8.456, 8.456 and 6.988 Å and the angles 90.00°, 90.00° and 90.00°. Symmetry generates all atoms from Pu at (0.000, 0.000, 0.000), Bi at (0.000, 0.000, 0.500), Bi at (0.250, 0.250, 0.250) and Pb at (0.000, 0.500, 0.000).

The volume comes out at 31.23 A^3/atom. For the total energy, the calculation gives -5.213 eV/atom.

=====

# 3
Material: SrMn2ZnFe
Method: DFT, PBE
State: optimized geometry

The structure belongs to space group P4/mmm (No. 123); the cell edges are 5.167, 5.167 and 5.272 Å and the angles 90.00°, 90.00° and 90.00°. Symmetry generates all atoms from Sr at (0.000, 0.000, 0.000), Mn at (0.000, 0.500, 0.000), Zn at (0.000, 0.000, 0.500) and Fe at (0.500, 0.500, 0.500).

The volume comes out at 28.15 A^3/atom. For the total energy, the calculation gives -3.797 eV/atom.

=====

# 4
Material: Cr2ReCl
Method: DFT, PBE
State: optimized geometry

The structure belongs to space group P4/mmm (No. 123); the cell edges are 2.970, 2.970 and 7.146 Å and the angles 90.00°, 90.00° and 90.00°. Symmetry generates all atoms from Cr at (0.000, 0.000, 0.222), Re at (0.500, 0.500, 0.000) and Cl at (0.500, 0.500, 0.500).

The calculation puts the raw formation energy at 0.323 eV/atom. The energy above the most stable polymorph in this dataset is 156 meV/atom. The volume comes out at 15.75 A^3/atom. For the total energy, the calculation gives -8.063 eV/atom.